# 1
Here is an optimized crystal structure of RbAc4Ge4 from Alexandria. Energies are from PBE.

Computed properties:
Energy relative to the elements, eV/atom: -0.404
Magnetic moment, μB per cell: 1.42
N(E_F), states/eV/f.u.: 6.28

Unit cell a=6.270 b=10.573 c=10.573 alpha=90.00 beta=90.00 gamma=90.00
Fractional coordinates of all 18 atoms:
Rb  0.000  0.000  0.000
Rb  0.500  0.500  0.500
Ac  0.382  0.362  0.878
Ac  0.882  0.622  0.862
Ac  0.382  0.638  0.122
Ac  0.118  0.138  0.622
Ac  0.618  0.878  0.638
Ac  0.118  0.862  0.378
Ac  0.882  0.378  0.138
Ac  0.618  0.122  0.362
Ge  0.612  0.812  0.323
Ge  0.612  0.188  0.677
Ge  0.112  0.823  0.688
Ge  0.888  0.312  0.823
Ge  0.888  0.688  0.177
Ge  0.388  0.323  0.188
Ge  0.388  0.677  0.812
Ge  0.112  0.177  0.312


# 2
Here is an optimized crystal structure of Cs3AgSe2O8 from Alexandria. Energies are from PBE.

Computed properties:
ΔE_f (raw), eV per atom: -1.141
Magnetic moment, μB per cell: 0.00
N(E_F), states/eV/f.u.: 0.00

Unit cell a=6.342 b=6.342 c=8.331 alpha=90.00 beta=90.00 gamma=120.00
Fractional coordinates of all 14 atoms:
Cs  0.333  0.667  0.688
Cs  0.667  0.333  0.312
Cs  0.000  0.000  0.000
Ag  0.000  0.000  0.500
Se  0.333  0.667  0.247
Se  0.667  0.333  0.753
O  0.333  0.667  0.047
O  0.667  0.333  0.953
O  0.188  0.812  0.315
O  0.812  0.188  0.685
O  0.188  0.377  0.315
O  0.812  0.623  0.685
O  0.623  0.812  0.315
O  0.377  0.188  0.685


# 3
Here is an optimized crystal structure of HoReHgO6 from Alexandria. Energies are from PBE.

Computed properties:
ΔE_f (raw), eV per atom: -1.797
Magnetic moment, μB per cell: 0.00
N(E_F), states/eV/f.u.: 0.00

Unit cell a=5.723 b=5.723 c=5.273 alpha=82.47 beta=97.53 gamma=58.58
Fractional coordinates of all 9 atoms:
Ho  0.669  0.669  0.500
Re  0.320  0.320  0.500
Hg  0.979  0.979  0.000
O  0.997  0.415  0.276
O  0.415  0.997  0.724
O  0.659  0.311  0.709
O  0.099  0.552  0.701
O  0.311  0.660  0.291
O  0.552  0.099  0.299


# 4
Here is an optimized crystal structure of Tb2PaTl2Se6 from Alexandria. Energies are from PBE.

Computed properties:
ΔE_f (raw), eV per atom: -1.384
Magnetic moment, μB per cell: 1.06
N(E_F), states/eV/f.u.: 2.80

Unit cell a=7.234 b=7.234 c=8.214 alpha=98.53 beta=98.53 gamma=119.99
Fractional coordinates of all 11 atoms:
Tb  0.333  0.667  0.500
Tb  0.667  0.333  0.500
Pa  0.000  0.000  0.500
Tl  0.833  0.167  0.000
Tl  0.167  0.833  0.000
Se  0.740  0.740  0.703
Se  0.067  0.397  0.703
Se  0.260  0.260  0.297
Se  0.397  0.067  0.703
Se  0.933  0.603  0.297
Se  0.603  0.933  0.297